Entry 1:
A plane-wave DFT calculation with PBE-GGA was carried out for a geometry-optimized CsZn2SbCl8 structure.

Summary:
Energy relative to the elements, uncorrected ... -1190 meV per atom
Space-group type ... R-3 (148)

The structure in POSCAR format:
```
CsZn2SbCl8
1.0
3.253 1.878 10.519
-3.253 1.878 10.519
0.000 -3.756 10.519
Cs Zn Sb Cl
1 2 1 8
Direct
0.000 0.000 0.000 Cs
0.242 0.242 0.242 Zn
0.758 0.758 0.758 Zn
0.500 0.500 0.500 Sb
0.119 0.445 0.785 Cl
0.215 0.881 0.555 Cl
0.312 0.312 0.312 Cl
0.445 0.785 0.119 Cl
0.555 0.215 0.881 Cl
0.688 0.688 0.688 Cl
0.785 0.119 0.445 Cl
0.881 0.555 0.215 Cl
```

Entry 2:
A plane-wave DFT calculation with PBE-GGA was carried out for a geometry-optimized KLiHg2 structure.

Summary:
Space-group type ... C2/m (12)
Formation enthalpy at 0 K ... -0.249 eV/atom
E above lowest polymorph ... 0.397 kcal/mol of atoms

The structure in POSCAR format:
```
KLiHg2
1.0
4.241 -2.450 0.000
4.241 2.450 0.000
-2.849 0.000 5.987
K Li Hg
1 1 2
Direct
0.000 0.000 0.000 K
0.500 0.500 0.500 Li
0.200 0.200 0.599 Hg
0.800 0.800 0.401 Hg
```

Question: Number 2 is which compound?
Answer: KLiHg2